1.
Entry from Alexandria via LeMat-Bulk: a relaxed structure of PtRhPb4 (PBE).

- Total magnetization: 0.00 μB/cell
- Offset from the most stable computed form: 929 meV per atom
- Formation enthalpy at 0 K: 0.822 eV per atom

Lattice parameters (Å, degrees): 6.1155 6.1155 6.1155 60.00 60.00 60.00
Fractional coordinates of all 6 atoms:
Pt1 0.0000 0.0000 0.0000
Rh1 0.7500 0.7500 0.7500
Pb1 0.3751 0.3751 0.3751
Pb2 0.3751 0.3751 0.8747
Pb3 0.3751 0.8747 0.3751
Pb4 0.8747 0.3751 0.3751



2.
Entry from Alexandria via LeMat-Bulk: a relaxed structure of PtRhPb2 (PBE).

- Total magnetization: 0.00 μB/cell
- Offset from the most stable computed form: 108 meV per atom
- Formation enthalpy at 0 K: 0.024 eV per atom

Lattice parameters (Å, degrees): 6.3427 6.3427 6.3427 40.68 40.68 40.68
Fractional coordinates of all 4 atoms:
Pt1 0.0000 0.0000 0.0000
Rh1 0.3395 0.3395 0.3395
Pb1 0.5719 0.5719 0.5719
Pb2 0.7664 0.7664 0.7664



3.
Entry from Alexandria via LeMat-Bulk: a relaxed structure of PtRhPb2 (PBE).

- Total magnetization: 0.00 μB/cell
- Offset from the most stable computed form: 177 meV per atom
- Formation enthalpy at 0 K: 0.093 eV per atom

Lattice parameters (Å, degrees): 5.6648 5.6648 5.6648 137.59 137.59 61.54
Fractional coordinates of all 4 atoms:
Pt1 0.0000 0.0000 0.0000
Rh1 0.2500 0.7500 0.5000
Pb1 0.5000 0.5000 0.0000
Pb2 0.7500 0.2500 0.5000



4.
Entry from Alexandria via LeMat-Bulk: a relaxed structure of Pt2RhPb (PBE).

- Total magnetization: 0.00 μB/cell
- Formation enthalpy at 0 K: 0.056 eV per atom

Lattice parameters (Å, degrees): 4.9593 4.9593 4.9593 130.63 130.63 72.40
Fractional coordinates of all 4 atoms:
Pt1 0.2500 0.7500 0.5000
Pt2 0.7500 0.2500 0.5000
Rh1 0.0000 0.0000 0.0000
Pb1 0.5000 0.5000 0.0000



5.
Entry from Alexandria via LeMat-Bulk: a relaxed structure of PtRh3Pb (PBE).

- Total magnetization: 1.93 μB/cell
- Offset from the most stable computed form: 0 meV per atom
- Formation enthalpy at 0 K: 1.080 eV per atom

Lattice parameters (Å, degrees): 4.8288 4.8288 4.8288 90.00 90.00 90.00
Fractional coordinates of all 5 atoms:
Pt1 0.0000 0.0000 0.0000
Rh1 0.0000 0.0000 0.5000
Rh2 0.0000 0.5000 0.0000
Rh3 0.5000 0.0000 0.0000
Pb1 0.5000 0.5000 0.5000



6.
Entry from Alexandria via LeMat-Bulk: a relaxed structure of PtRh4Pb (PBE).

- Total magnetization: 0.98 μB/cell
- Formation enthalpy at 0 K: 0.330 eV per atom

Lattice parameters (Å, degrees): 5.2114 5.2114 5.2114 60.00 60.00 60.00
Fractional coordinates of all 6 atoms:
Pt1 0.0000 0.0000 0.0000
Rh1 0.1233 0.6256 0.6256
Rh2 0.6256 0.1233 0.6256
Rh3 0.6256 0.6256 0.1233
Rh4 0.6256 0.6256 0.6256
Pb1 0.2500 0.2500 0.2500



7.
Entry from Alexandria via LeMat-Bulk: a relaxed structure of Pt4RhPb (PBE).

- Total magnetization: 1.21 μB/cell
- Formation enthalpy at 0 K: 0.158 eV per atom

Lattice parameters (Å, degrees): 5.3548 5.3548 5.3548 60.00 60.00 60.00
Fractional coordinates of all 6 atoms:
Pt1 0.1243 0.1243 0.1243
Pt2 0.1243 0.1243 0.6271
Pt3 0.1243 0.6271 0.1243
Pt4 0.6271 0.1243 0.1243
Rh1 0.7500 0.7500 0.7500
Pb1 0.5000 0.5000 0.5000



8.
Entry from Alexandria via LeMat-Bulk: a relaxed structure of Pt2RhPb (PBE).

- Total magnetization: 0.00 μB/cell
- Formation enthalpy at 0 K: 0.083 eV per atom

Lattice parameters (Å, degrees): 5.6455 5.6455 5.6455 149.04 130.80 59.28
Fractional coordinates of all 4 atoms:
Pt1 0.2473 0.2473 0.0000
Pt2 0.7527 0.7527 0.0000
Rh1 0.0000 0.5000 0.5000
Pb1 0.5000 0.0000 0.5000



9.
Entry from Alexandria via LeMat-Bulk: a relaxed structure of Pt2Rh2Pb (PBE).

- Total magnetization: 0.00 μB/cell
- Offset from the most stable computed form: 0 meV per atom
- Formation enthalpy at 0 K: 0.162 eV per atom

Lattice parameters (Å, degrees): 7.0240 7.0240 3.5739 90.00 90.00 90.00
Fractional coordinates of all 10 atoms:
Pt1 0.1546 0.3454 0.0000
Pt2 0.3454 0.8454 0.0000
Pt3 0.6546 0.1546 0.0000
Pt4 0.8454 0.6546 0.0000
Rh1 0.1339 0.6339 0.5000
Rh2 0.3661 0.1339 0.5000
Rh3 0.6339 0.8661 0.5000
Rh4 0.8661 0.3661 0.5000
Pb1 0.0000 0.0000 0.5000
Pb2 0.5000 0.5000 0.5000



10.
Entry from Alexandria via LeMat-Bulk: a relaxed structure of Pt2Rh2Pb (PBE).

- Total magnetization: 1.62 μB/cell
- Offset from the most stable computed form: 52 meV per atom
- Formation enthalpy at 0 K: 0.214 eV per atom

Lattice parameters (Å, degrees): 7.0506 7.0506 7.0506 149.19 149.19 44.13
Fractional coordinates of all 5 atoms:
Pt1 0.2500 0.7500 0.5000
Pt2 0.7500 0.2500 0.5000
Rh1 0.1008 0.1008 0.0000
Rh2 0.8992 0.8992 0.0000
Pb1 0.5000 0.5000 0.0000



11.
Entry from Alexandria via LeMat-Bulk: a relaxed structure of Pt2RhPb (PBE).

- Total magnetization: 0.00 μB/cell
- Formation enthalpy at 0 K: 0.012 eV per atom

Lattice parameters (Å, degrees): 4.8620 4.8620 4.8620 128.42 128.42 75.94
Fractional coordinates of all 4 atoms:
Pt1 0.0000 0.0000 0.0000
Pt2 0.7500 0.2500 0.5000
Rh1 0.2500 0.7500 0.5000
Pb1 0.5000 0.5000 0.0000



12.
Entry from Alexandria via LeMat-Bulk: a relaxed structure of Pt2RhPb8 (PBE).

- Total magnetization: 0.00 μB/cell
- Formation enthalpy at 0 K: -0.073 eV per atom

Lattice parameters (Å, degrees): 8.7994 8.7994 9.8360 109.15 109.15 24.23
Fractional coordinates of all 11 atoms:
Pt1 0.0000 0.0000 0.0000
Pt2 0.6965 0.6965 0.8399
Rh1 0.3369 0.3369 0.2736
Pb1 0.1552 0.1552 0.6064
Pb2 0.1740 0.1740 0.0525
Pb3 0.5223 0.5223 0.7906
Pb4 0.5311 0.5311 0.2376
Pb5 0.7439 0.7439 0.3820
Pb6 0.8422 0.8422 0.7374
Pb7 0.8521 0.8521 0.0723
Pb8 0.9455 0.9455 0.4644



13.
Entry from Alexandria via LeMat-Bulk: a relaxed structure of PtRhPb4 (PBE).

- Total magnetization: 0.00 μB/cell
- Offset from the most stable computed form: 0 meV per atom
- Formation enthalpy at 0 K: -0.107 eV per atom

Lattice parameters (Å, degrees): 7.9605 7.9605 6.0923 107.80 107.80 111.65
Fractional coordinates of all 12 atoms:
Pt1 0.1472 0.8528 0.7500
Pt2 0.8528 0.1472 0.2500
Rh1 0.4911 0.5089 0.2500
Rh2 0.5089 0.4911 0.7500
Pb1 0.1265 0.2550 0.7636
Pb2 0.1964 0.5468 0.4082
Pb3 0.2550 0.1265 0.2636
Pb4 0.4532 0.8036 0.0918
Pb5 0.5468 0.1964 0.9082
Pb6 0.7450 0.8735 0.7364
Pb7 0.8036 0.4532 0.5918
Pb8 0.8735 0.7450 0.2364



14.
Entry from Alexandria via LeMat-Bulk: a relaxed structure of ScPtRhPb (PBE).

- Total magnetization: 0.00 μB/cell
- Formation enthalpy at 0 K: -0.594 eV per atom

Lattice parameters (Å, degrees): 4.6893 4.6893 4.6893 60.00 60.00 60.00
Fractional coordinates of all 4 atoms:
Sc1 0.0000 0.0000 0.0000
Pt1 0.2500 0.2500 0.2500
Rh1 0.7500 0.7500 0.7500
Pb1 0.5000 0.5000 0.5000



15.
Entry from Alexandria via LeMat-Bulk: a relaxed structure of PtRhPbSe2 (PBE).

- Total magnetization: 1.29 μB/cell
- Raw formation energy: 7.3 eV/f.u.

Lattice parameters (Å, degrees): 5.3039 5.3039 5.0356 90.00 90.00 90.00
Fractional coordinates of all 5 atoms:
Pt1 0.0000 0.0000 0.0000
Rh1 0.5000 0.5000 0.0000
Pb1 0.5000 0.5000 0.5000
Se1 0.0000 0.5000 0.5000
Se2 0.5000 0.0000 0.5000



16.
Entry from Alexandria via LeMat-Bulk: a relaxed structure of SmPtRhPb (PBE).

- Total magnetization: 0.00 μB/cell
- Formation enthalpy at 0 K: -0.548 eV per atom

Lattice parameters (Å, degrees): 4.8881 4.8881 4.8881 60.00 60.00 60.00
Fractional coordinates of all 4 atoms:
Sm1 0.0000 0.0000 0.0000
Pt1 0.2500 0.2500 0.2500
Rh1 0.7500 0.7500 0.7500
Pb1 0.5000 0.5000 0.5000



17.
Entry from Alexandria via LeMat-Bulk: a relaxed structure of TlPt2RhPb (PBE).

- Total magnetization: 0.00 μB/cell
- Formation enthalpy at 0 K: 1.005 eV per atom

Lattice parameters (Å, degrees): 5.1191 5.1191 5.0752 90.00 90.00 90.00
Fractional coordinates of all 5 atoms:
Tl1 0.0000 0.0000 0.0000
Pt1 0.0000 0.5000 0.5000
Pt2 0.5000 0.0000 0.5000
Rh1 0.5000 0.5000 0.0000
Pb1 0.5000 0.5000 0.5000



18.
Entry from Alexandria via LeMat-Bulk: a relaxed structure of YPtRh2Pb (PBE).

- Total magnetization: 0.00 μB/cell
- Formation enthalpy at 0 K: 0.487 eV per atom

Lattice parameters (Å, degrees): 4.9319 4.9319 5.0336 90.00 90.00 90.00
Fractional coordinates of all 5 atoms:
Y1 0.0000 0.0000 0.0000
Pt1 0.5000 0.5000 0.0000
Rh1 0.0000 0.5000 0.5000
Rh2 0.5000 0.0000 0.5000
Pb1 0.5000 0.5000 0.5000



19.
Entry from Alexandria via LeMat-Bulk: a relaxed structure of Ru2PtPb (PBE).

- Total magnetization: 0.00 μB/cell
- Formation enthalpy at 0 K: 0.336 eV per atom

Lattice parameters (Å, degrees): 2.9166 3.8083 6.1732 90.00 90.00 90.00
Fractional coordinates of all 4 atoms:
Ru1 0.0000 0.0000 0.0000
Ru2 0.5000 0.5000 0.1844
Pt1 0.5000 0.5000 0.7543
Pb1 0.0000 0.0000 0.4742



20.
Entry from Alexandria via LeMat-Bulk: a relaxed structure of Ru2PtPb (PBE).

- Total magnetization: 0.75 μB/cell
- Formation enthalpy at 0 K: 0.465 eV per atom

Lattice parameters (Å, degrees): 5.6402 5.6402 5.6402 149.84 130.31 59.23
Fractional coordinates of all 4 atoms:
Ru1 0.0000 0.0000 0.0000
Ru2 0.7814 0.2814 0.5000
Pt1 0.5274 0.5274 0.0000
Pb1 0.2602 0.7602 0.5000



Number 1: DOS(E_F) 0.7729 states/eV per atom. Number 2: DOS(E_F) 0.3197 states/eV per atom. Number 3: DOS(E_F) 0.6285 states/eV per atom. Number 4: DOS(E_F) 1.4821 states/eV per atom. Number 5: DOS(E_F) 1.3843 states/eV per atom. Number 6: DOS(E_F) 2.1439 states/eV per atom. Number 7: DOS(E_F) 0.8816 states/eV per atom. Number 8: DOS(E_F) 0.9122 states/eV per atom. Number 9: DOS(E_F) 1.5092 states/eV per atom. Number 10: DOS(E_F) 1.6198 states/eV per atom. Number 11: DOS(E_F) 1.3454 states/eV per atom. Number 12: DOS(E_F) 0.6154 states/eV per atom. Number 13: DOS(E_F) 0.4374 states/eV per atom. Number 14: DOS(E_F) 0.7400 states/eV per atom. Number 15: DOS(E_F) 1.6470 states/eV per atom. Number 16: DOS(E_F) 0.8038 states/eV per atom. Number 17: DOS(E_F) 0.8712 states/eV per atom. Number 18: DOS(E_F) 0.6895 states/eV per atom. Number 19: DOS(E_F) 1.0287 states/eV per atom. Number 20: DOS(E_F) 1.2945 states/eV per atom.